# CdSb4Au, optimized geometry, DFT PBE
# DOS(E_F): 4.725 states/eV/f.u.
# Theoretical density: 7.8 Mg/m³
# Formation energy from raw total energies: 410 meV per atom
data_CdSb4Au
_symmetry_space_group_name_H-M 'F -4 3 m'
_symmetry_Int_Tables_number 216
_symmetry_space_group_name_Hall 'F -4 2 3'
_cell_length_a 8.771
_cell_length_b 8.771
_cell_length_c 8.771
_cell_angle_alpha 90.00
_cell_angle_beta 90.00
_cell_angle_gamma 90.00
loop_
_atom_site_label
_atom_site_fract_x
_atom_site_fract_y
_atom_site_fract_z
Cd1 0.000 0.000 0.000
Sb1 0.124 0.124 0.624
Au1 0.250 0.250 0.250



# ZrCoSi, optimized geometry, DFT PBE
# DOS(E_F): 2.477 states/eV/f.u.
# Theoretical density: 6.6 Mg/m³
# Formation energy from raw total energies: -859 meV per atom
data_ZrCoSi
_symmetry_space_group_name_H-M 'P n m a'
_symmetry_Int_Tables_number 62
_symmetry_space_group_name_Hall '-P 2ac 2n'
_cell_length_a 6.478
_cell_length_b 3.859
_cell_length_c 7.141
_cell_angle_alpha 90.00
_cell_angle_beta 90.00
_cell_angle_gamma 90.00
loop_
_atom_site_label
_atom_site_fract_x
_atom_site_fract_y
_atom_site_fract_z
Zr1 0.007 0.250 0.193
Co1 0.145 0.250 0.569
Si1 0.217 0.750 0.396



# Pm2PrPb, optimized geometry, DFT PBE
# DOS(E_F): 4.865 states/eV/f.u.
# Theoretical density: 8.5 Mg/m³
# DFT formation energy: -335.7 meV/atom
data_Pm2PrPb
_symmetry_space_group_name_H-M 'P 4/m m m'
_symmetry_Int_Tables_number 123
_symmetry_space_group_name_Hall '-P 4 2'
_cell_length_a 5.000
_cell_length_b 5.000
_cell_length_c 4.964
_cell_angle_alpha 90.00
_cell_angle_beta 90.00
_cell_angle_gamma 90.00
loop_
_atom_site_label
_atom_site_fract_x
_atom_site_fract_y
_atom_site_fract_z
Pm1 0.000 0.500 0.000
Pr1 0.000 0.000 0.500
Pb1 0.500 0.500 0.500



# Y2AgCl, optimized geometry, DFT PBE
# DOS(E_F): 6.142 states/eV/f.u.
# Theoretical density: 5.5 Mg/m³
# Formation energy from raw total energies: -497 meV per atom
data_Y2AgCl
_symmetry_space_group_name_H-M 'F m -3 m'
_symmetry_Int_Tables_number 225
_symmetry_space_group_name_Hall '-F 4 2 3'
_cell_length_a 7.298
_cell_length_b 7.298
_cell_length_c 7.298
_cell_angle_alpha 90.00
_cell_angle_beta 90.00
_cell_angle_gamma 90.00
loop_
_atom_site_label
_atom_site_fract_x
_atom_site_fract_y
_atom_site_fract_z
Y1 0.250 0.250 0.250
Ag1 0.000 0.000 0.000
Cl1 0.000 0.000 0.500